Entry 1:
# PBE-GGA K12Rb2Hg7, relaxed
data_K12Rb2Hg7
_symmetry_space_group_name_H-M 'P -6'
_symmetry_Int_Tables_number 174
_cell_length_a 14.7720
_cell_length_b 14.7720
_cell_length_c 5.3838
_cell_angle_alpha 90.00
_cell_angle_beta 90.00
_cell_angle_gamma 120.00
loop_
_symmetry_equiv_pos_as_xyz
'x,y,z'
'-x+y,-x,-z'
'-y,x-y,z'
'x,y,-z'
'-x+y,-x,z'
'-y,x-y,-z'
loop_
_atom_site_label
_atom_site_type_symbol
_atom_site_fract_x
_atom_site_fract_y
_atom_site_fract_z
K1 K 0.0548 0.4442 0.0000
K2 K 0.1162 0.2770 0.5000
K3 K 0.2220 0.1275 0.0000
K4 K 0.4352 0.3719 0.5000
Rb1 Rb 0.3333 0.6667 0.5000
Rb2 Rb 0.6667 0.3333 0.0000
Hg1 Hg 0.0000 0.0000 0.5000
Hg2 Hg 0.1296 0.7121 0.0000
Hg3 Hg 0.4173 0.1241 0.5000
# energy of formation: -157 meV/atom

Entry 2:
# PBE-GGA La2Pm6Ho3Sc, relaxed
data_La2Pm6Ho3Sc
_symmetry_space_group_name_H-M 'C 1 2/m 1'
_symmetry_Int_Tables_number 12
_cell_length_a 6.243
_cell_length_b 10.818
_cell_length_c 11.933
_cell_angle_alpha 90.00
_cell_angle_beta 100.12
_cell_angle_gamma 90.00
loop_
_symmetry_equiv_pos_as_xyz
'x,y,z'
'-x,-y,-z'
'-x,y,-z'
'x,-y,z'
'x+1/2,y+1/2,z'
'-x+1/2,-y+1/2,-z'
'-x+1/2,y+1/2,-z'
'x+1/2,-y+1/2,z'
loop_
_atom_site_label
_atom_site_type_symbol
_atom_site_fract_x
_atom_site_fract_y
_atom_site_fract_z
La1 La 0.000 0.167 0.000
Pm1 Pm 0.246 0.500 0.747
Pm2 Pm 0.248 0.336 0.253
Ho1 Ho 0.000 0.000 0.500
Ho2 Ho 0.000 0.334 0.500
Sc1 Sc 0.000 0.500 0.000
# energy of formation: 30 meV/atom

Entry 3:
# PBE-GGA KP2Au, relaxed
data_KP2Au
_symmetry_space_group_name_H-M 'I -4 2 d'
_symmetry_Int_Tables_number 122
_symmetry_space_group_name_Hall 'I -4 2bw'
_cell_length_a 7.635
_cell_length_b 7.635
_cell_length_c 6.776
_cell_angle_alpha 90.00
_cell_angle_beta 90.00
_cell_angle_gamma 90.00
loop_
_atom_site_label
_atom_site_type_symbol
_atom_site_fract_x
_atom_site_fract_y
_atom_site_fract_z
K1 K 0.000 0.000 0.000
P1 P 0.156 0.750 0.625
Au1 Au 0.000 0.000 0.500
# energy of formation: 174 meV/atom
# energy relative to the lowest polymorph listed for this composition: 497 meV per atom

Entry 4:
# PBE-GGA AlSbSe2, relaxed
data_AlSbSe2
_symmetry_space_group_name_H-M 'I -4 2 d'
_symmetry_Int_Tables_number 122
_symmetry_space_group_name_Hall 'I -4 2bw'
_cell_length_a 7.247
_cell_length_b 7.247
_cell_length_c 7.473
_cell_angle_alpha 90.00
_cell_angle_beta 90.00
_cell_angle_gamma 90.00
loop_
_atom_site_label
_atom_site_type_symbol
_atom_site_fract_x
_atom_site_fract_y
_atom_site_fract_z
Al1 Al 0.000 0.000 0.000
Sb1 Sb 0.000 0.000 0.500
Se1 Se 0.202 0.750 0.125
# energy relative to the lowest polymorph listed for this composition: 304 meV per atom

Entry 5:
# PBE-GGA CdInSb2, relaxed
data_CdInSb2
_symmetry_space_group_name_H-M 'C 1 m 1'
_symmetry_Int_Tables_number 8
_cell_length_a 8.342
_cell_length_b 3.139
_cell_length_c 8.443
_cell_angle_alpha 90.00
_cell_angle_beta 93.63
_cell_angle_gamma 90.00
loop_
_symmetry_equiv_pos_as_xyz
'x,y,z'
'x,-y,z'
'x+1/2,y+1/2,z'
'x+1/2,-y+1/2,z'
loop_
_atom_site_label
_atom_site_type_symbol
_atom_site_fract_x
_atom_site_fract_y
_atom_site_fract_z
Cd1 Cd 0.000 0.000 0.000
In1 In 0.255 0.000 0.756
Sb1 Sb 0.008 0.500 0.497
Sb2 Sb 0.240 0.500 0.241
# E: -2.894 eV/atom

Entry 6:
# PBE-GGA TbDyEr2Rh4, relaxed
data_TbDyEr2Rh4
_symmetry_space_group_name_H-M 'R -3 m'
_symmetry_Int_Tables_number 166
_symmetry_space_group_name_Hall '-R 3 2"'
_cell_length_a 4.8256
_cell_length_b 4.8256
_cell_length_c 23.6729
_cell_angle_alpha 90.00
_cell_angle_beta 90.00
_cell_angle_gamma 120.00
loop_
_atom_site_label
_atom_site_type_symbol
_atom_site_fract_x
_atom_site_fract_y
_atom_site_fract_z
Tb1 Tb 0.0000 0.0000 0.0000
Dy1 Dy 0.0000 0.0000 0.5000
Er1 Er 0.0000 0.0000 0.2498
Rh1 Rh 0.0000 0.0000 0.1252
Rh2 Rh 0.0000 0.0000 0.3752
# energy of formation: -903 meV/atom